Entry from Alexandria: crystalline RbAs2Pd4 at its relaxed geometry (PBE).

The calculated formation energy is 0.727 eV per atom. The calculated density is 6.033 g/cm3.

The structure belongs to space group I4/mmm (No. 139); the cell edges are 5.186, 5.186 and 13.527 Å and the angles 90.00°, 90.00° and 90.00°. The asymmetric unit holds Rb at (0.000, 0.000, 0.000), As at (0.000, 0.000, 0.410), Pd at (0.000, 0.000, 0.239) and Pd at (0.000, 0.500, 0.000).



Entry from Alexandria: crystalline RbAs2Pd at its relaxed geometry (PBE).

As for the offset from the most stable computed form: 0.50 eV/f.u. The calculated formation energy is -0.195 eV per atom. The calculated density is 5.923 g/cm3.

The structure belongs to space group P4/mmm (No. 123); the cell edges are 3.608, 3.608 and 7.361 Å and the angles 90.00°, 90.00° and 90.00°. The asymmetric unit holds Rb at (0.000, 0.000, 0.000), As at (0.500, 0.500, 0.340) and Pd at (0.000, 0.000, 0.500).



Entry from Alexandria: crystalline Rb2As7Pd12 at its relaxed geometry (PBE).

The calculated formation energy is -0.378 eV per atom. The calculated density is 8.542 g/cm3.

The structure belongs to space group P-3 (No. 147); the cell edges are 10.3692, 10.3692 and 4.1179 Å and the angles 90.00°, 90.00° and 120.00°. The asymmetric unit holds Rb at (0.3333, 0.6667, 0.2525), As at (0.0000, 0.0000, 0.0000), As at (0.1081, 0.4008, 0.7516), Pd at (0.0500, 0.6188, 0.7508) and Pd at (0.1100, 0.8594, 0.2644).



Entry from Alexandria: crystalline RbAs3Pd3 at its relaxed geometry (PBE).

As for the offset from the most stable computed form: 0.00 eV/f.u. The calculated formation energy is -0.336 eV per atom. The calculated density is 5.623 g/cm3.

The structure belongs to space group R-3 (No. 148, hexagonal axes); the cell edges are 7.1694, 7.1694 and 25.0572 Å and the angles 90.00°, 90.00° and 120.00°. The asymmetric unit holds Rb at (0.0000, 0.0000, 0.1670), As at (0.0014, 0.6749, 0.6039) and Pd at (0.0012, 0.6623, 0.3688).



Entry from Alexandria: crystalline Rb5As3Pd3 at its relaxed geometry (PBE).

The calculated formation energy is -0.273 eV per atom. The calculated density is 3.497 g/cm3.

The structure belongs to space group P-62m (No. 189); the cell edges are 10.7142, 10.7142 and 4.6392 Å and the angles 90.00°, 90.00° and 120.00°. The asymmetric unit holds Rb at (0.0000, 0.2718, 0.0000), Rb at (0.3333, 0.6667, 0.0000), As at (0.0000, 0.6358, 0.0000) and Pd at (0.0000, 0.6364, 0.5000).



Entry from Alexandria: crystalline Rb3As3Pd5 at its relaxed geometry (PBE).

The calculated formation energy is -0.325 eV per atom. The calculated density is 5.209 g/cm3.

The structure belongs to space group P-62m (No. 189); the cell edges are 7.5481, 7.5481 and 6.5472 Å and the angles 90.00°, 90.00° and 120.00°. The asymmetric unit holds Rb at (0.0000, 0.3244, 0.0000), As at (0.0000, 0.3674, 0.5000), Pd at (0.0000, 0.7458, 0.5000) and Pd at (0.3333, 0.6667, 0.5000).



Entry from Alexandria: crystalline RbAs2Pd at its relaxed geometry (PBE).

As for the offset from the most stable computed form: 2.63 eV/f.u. The calculated formation energy is 0.337 eV per atom. The calculated density is 6.476 g/cm3.

The structure belongs to space group Fm-3m (No. 225); the cell edges are 7.051, 7.051 and 7.051 Å and the angles 90.00°, 90.00° and 90.00°. The asymmetric unit holds Rb at (0.000, 0.000, 0.000), As at (0.250, 0.250, 0.250) and Pd at (0.000, 0.000, 0.500).



Entry from Alexandria: crystalline Rb3As2Pd at its relaxed geometry (PBE).

The calculated formation energy is -0.352 eV per atom. The calculated density is 3.913 g/cm3.

The structure belongs to space group C2/c (No. 15); the cell edges are 10.675, 10.372 and 7.861 Å and the angles 90.00°, 91.18° and 90.00°. The asymmetric unit holds Rb at (0.000, 0.112, 0.250), Rb at (0.174, 0.437, 0.009), As at (0.212, 0.236, 0.647) and Pd at (0.000, 0.231, 0.750).



Entry from Alexandria: crystalline RbAsPd3 at its relaxed geometry (PBE).

As for the offset from the most stable computed form: 0.00 eV/f.u. The calculated formation energy is -0.162 eV per atom. The calculated density is 7.723 g/cm3.

The structure belongs to space group P2_1/m (No. 11); the cell edges are 5.974, 5.714 and 6.043 Å and the angles 90.00°, 90.13° and 90.00°. The asymmetric unit holds Rb at (0.004, 0.250, 0.428), As at (0.499, 0.750, 0.228), Pd at (0.250, 0.000, 0.999) and Pd at (0.498, 0.750, 0.631).



Entry from Alexandria: crystalline RbAs3Pd5 at its relaxed geometry (PBE).

The calculated formation energy is -0.438 eV per atom. The calculated density is 7.894 g/cm3.

The structure belongs to space group Cmcm (No. 63); the cell edges are 3.976, 13.451 and 13.252 Å and the angles 90.00°, 90.00° and 90.00°. The asymmetric unit holds Rb at (0.000, 0.154, 0.250), As at (0.000, 0.121, 0.750), As at (0.000, 0.382, 0.537), Pd at (0.000, 0.000, 0.000), Pd at (0.000, 0.201, 0.564) and Pd at (0.000, 0.438, 0.145).



Entry from Alexandria: crystalline RbAs3Pd at its relaxed geometry (PBE).

As for the offset from the most stable computed form: 0.00 eV/f.u. The calculated formation energy is 0.237 eV per atom. The calculated density is 5.266 g/cm3.

The structure belongs to space group Pm-3m (No. 221); the cell edges are 5.084, 5.084 and 5.084 Å and the angles 90.00°, 90.00° and 90.00°. The asymmetric unit holds Rb at (0.000, 0.000, 0.000), As at (0.000, 0.500, 0.500) and Pd at (0.500, 0.500, 0.500).



Entry from Alexandria: crystalline RbAs3Pd3 at its relaxed geometry (PBE).

As for the offset from the most stable computed form: 0.46 eV/f.u. The calculated formation energy is -0.270 eV per atom. The calculated density is 6.149 g/cm3.

The structure belongs to space group Pm-3n (No. 223); the cell edges are 6.980, 6.980 and 6.980 Å and the angles 90.00°, 90.00° and 90.00°. The asymmetric unit holds Rb at (0.000, 0.000, 0.000), As at (0.000, 0.250, 0.500) and Pd at (0.000, 0.500, 0.250).



Entry from Alexandria: crystalline Rb2As4Pd3 at its relaxed geometry (PBE).

As for the offset from the most stable computed form: 0.35 eV/f.u. The calculated formation energy is -0.347 eV per atom. The calculated density is 5.298 g/cm3.

The structure belongs to space group Fmmm (No. 69); the cell edges are 5.964, 10.081 and 16.471 Å and the angles 90.00°, 90.00° and 90.00°. The asymmetric unit holds Rb at (0.000, 0.000, 0.167), As at (0.000, 0.166, 0.388), Pd at (0.000, 0.000, 0.500) and Pd at (0.250, 0.250, 0.000).



Entry from Alexandria: crystalline RbAs3Pd at its relaxed geometry (PBE).

As for the offset from the most stable computed form: 8.78 eV/f.u. The calculated formation energy is 1.993 eV per atom. The calculated density is 4.108 g/cm3.

The structure belongs to space group Pm-3m (No. 221); the cell edges are 5.522, 5.522 and 5.522 Å and the angles 90.00°, 90.00° and 90.00°. The asymmetric unit holds Rb at (0.000, 0.000, 0.000), As at (0.000, 0.000, 0.500) and Pd at (0.500, 0.500, 0.500).



Entry from Alexandria: crystalline RbAs2Pd at its relaxed geometry (PBE).

As for the offset from the most stable computed form: 0.47 eV/f.u. The calculated formation energy is -0.201 eV per atom. The calculated density is 4.842 g/cm3.

The structure belongs to space group I4_1/amd (No. 141, origin choice 2); the cell edges are 5.217, 5.217 and 17.225 Å and the angles 90.00°, 90.00° and 90.00°. The asymmetric unit holds Rb at (0.000, 0.250, 0.375), As at (0.000, 0.000, 0.000) and Pd at (0.000, 0.250, 0.875).



Entry from Alexandria: crystalline RbAs2Pd at its relaxed geometry (PBE).

As for the offset from the most stable computed form: 0.00 eV/f.u. The calculated formation energy is -0.319 eV per atom. The calculated density is 5.432 g/cm3.

The structure belongs to space group R3m (No. 160, hexagonal axes); the cell edges are 4.1158, 4.1158 and 21.3630 Å and the angles 90.00°, 90.00° and 120.00°. The asymmetric unit holds Rb at (0.0000, 0.0000, 0.0000), As at (0.0000, 0.0000, 0.5506), As at (0.0000, 0.0000, 0.7933) and Pd at (0.0000, 0.0000, 0.1736).



Entry from Alexandria: crystalline RbAs4Pd4 at its relaxed geometry (PBE).

The calculated formation energy is -0.274 eV per atom. The calculated density is 7.214 g/cm3.

The structure belongs to space group I4/m (No. 87); the cell edges are 8.830, 8.830 and 4.787 Å and the angles 90.00°, 90.00° and 90.00°. The asymmetric unit holds Rb at (0.000, 0.000, 0.000), As at (0.147, 0.288, 0.500) and Pd at (0.098, 0.374, 0.000).



Entry from Alexandria: crystalline RbAsPd3 at its relaxed geometry (PBE).

As for the offset from the most stable computed form: 0.46 eV/f.u. The calculated formation energy is -0.070 eV per atom. The calculated density is 6.909 g/cm3.

The structure belongs to space group Pm-3m (No. 221); the cell edges are 4.867, 4.867 and 4.867 Å and the angles 90.00°, 90.00° and 90.00°. The asymmetric unit holds Rb at (0.000, 0.000, 0.000), As at (0.500, 0.500, 0.500) and Pd at (0.000, 0.500, 0.500).



Entry from Alexandria: crystalline RbAs2Pd3 at its relaxed geometry (PBE).

The calculated formation energy is -0.419 eV per atom. The calculated density is 6.957 g/cm3.

The structure belongs to space group C2/m (No. 12); the cell edges are 15.877, 4.130 and 8.722 Å and the angles 90.00°, 112.23° and 90.00°. The asymmetric unit holds Rb at (0.152, 0.000, 0.057), As at (0.025, 0.500, 0.212), As at (0.181, 0.000, 0.645), Pd at (0.049, 0.000, 0.380), Pd at (0.085, 0.500, 0.649) and Pd at (0.184, 0.500, 0.441).



Entry from Alexandria: crystalline RbAs2Pd4 at its relaxed geometry (PBE).

The calculated formation energy is -0.381 eV per atom. The calculated density is 7.276 g/cm3.

The structure belongs to space group Cmmm (No. 65); the cell edges are 4.171, 17.862 and 4.049 Å and the angles 90.00°, 90.00° and 90.00°. The asymmetric unit holds Rb at (0.000, 0.000, 0.000), As at (0.000, 0.382, 0.500), Pd at (0.000, 0.192, 0.500) and Pd at (0.000, 0.305, 0.000).